[1]
Here is crystalline Mg3InSb at its relaxed geometry from the Alexandria database. Energies are from GGA-PBE.

Cell lengths 5.423, 5.423, 5.423 Å; angles 90.00, 90.00, 90.00 degrees
Positions (direct):
Mg (0.000, 0.000, 0.500)
Mg (0.000, 0.500, 0.000)
Mg (0.500, 0.000, 0.000)
In (0.500, 0.500, 0.500)
Sb (0.000, 0.000, 0.000)

Properties
Space group = Pm-3m (221)
Energy relative to the lowest polymorph listed for this composition = 0 meV per atom

[2]
Here is crystalline NaTm2Te4Au at its relaxed geometry from the Alexandria database. Energies are from GGA-PBE.

Cell lengths 7.539, 7.539, 15.523 Å; angles 90.00, 90.00, 146.90 degrees
Positions (direct):
Na (0.146, 0.854, 0.750)
Na (0.854, 0.146, 0.250)
Tm (0.370, 0.630, 0.577)
Tm (0.370, 0.630, 0.923)
Tm (0.630, 0.370, 0.077)
Tm (0.630, 0.370, 0.423)
Te (0.000, 0.000, 0.000)
Te (0.000, 0.000, 0.500)
Te (0.274, 0.726, 0.109)
Te (0.274, 0.726, 0.391)
Te (0.470, 0.530, 0.750)
Te (0.530, 0.470, 0.250)
Te (0.726, 0.274, 0.609)
Te (0.726, 0.274, 0.891)
Au (0.152, 0.848, 0.250)
Au (0.848, 0.152, 0.750)

Properties
Space group = Cmcm (63)
DFT total energy = -4.304 eV/atom

What did the second record say?
Here is crystalline NaTm2Te4Au at its relaxed geometry from the Alexandria database. Energies are from GGA-PBE.

Cell lengths 7.539, 7.539, 15.523 Å; angles 90.00, 90.00, 146.90 degrees
Positions (direct):
Na (0.146, 0.854, 0.750)
Na (0.854, 0.146, 0.250)
Tm (0.370, 0.630, 0.577)
Tm (0.370, 0.630, 0.923)
Tm (0.630, 0.370, 0.077)
Tm (0.630, 0.370, 0.423)
Te (0.000, 0.000, 0.000)
Te (0.000, 0.000, 0.500)
Te (0.274, 0.726, 0.109)
Te (0.274, 0.726, 0.391)
Te (0.470, 0.530, 0.750)
Te (0.530, 0.470, 0.250)
Te (0.726, 0.274, 0.609)
Te (0.726, 0.274, 0.891)
Au (0.152, 0.848, 0.250)
Au (0.848, 0.152, 0.750)

Properties
Space group = Cmcm (63)
DFT total energy = -4.304 eV/atom

- Which formula does entry 2 have?
  NaTm2Te4Au